[1]
Mg2ZnCuPt5 | PBE | relaxed

Computed properties:
total moment = 0.00 μB per atom
ΔE_f = -130 meV per atom
total DFT energy (no corrections) = -4.4366 eV/atom

Cell and atoms, written as CIF:
```
data_Mg2ZnCuPt5
_chemical_formula_sum 'Mg8 Zn4 Cu4 Pt20'
_cell_length_a 7.354
_cell_length_b 7.354
_cell_length_c 10.893
_cell_angle_alpha 90.00
_cell_angle_beta 90.00
_cell_angle_gamma 90.00
_space_group_name_H-M_alt 'I 4/m c m'
_space_group_IT_number 140
_space_group_name_Hall '-I 4 2c'
loop_
_atom_site_label
_atom_site_fract_x
_atom_site_fract_y
_atom_site_fract_z
Mg1 0.116 0.384 0.000
Zn1 0.000 0.000 0.250
Cu1 0.000 0.500 0.250
Pt1 0.000 0.000 0.000
Pt2 0.197 0.303 0.366
```


[2]
MgZnCuPt | PBE | relaxed

Computed properties:
total moment = 0.00 μB per atom
ΔE_f = -453 meV per atom
total DFT energy (no corrections) = -3.7044 eV/atom
distance to the lowest polymorph of the same formula = 0.0 meV per atom

Cell and atoms, written as CIF:
```
data_MgZnCuPt
_chemical_formula_sum 'Mg2 Zn2 Cu2 Pt2'
_cell_length_a 4.055
_cell_length_b 4.055
_cell_length_c 7.161
_cell_angle_alpha 90.00
_cell_angle_beta 90.00
_cell_angle_gamma 90.00
_space_group_name_H-M_alt 'I -4 m 2'
_space_group_IT_number 119
_space_group_name_Hall 'I -4 -2'
loop_
_atom_site_label
_atom_site_fract_x
_atom_site_fract_y
_atom_site_fract_z
Mg1 0.000 0.000 0.000
Zn1 0.000 0.000 0.500
Cu1 0.000 0.500 0.250
Pt1 0.000 0.500 0.750
```


[3]
Mg2Zn2CuPt5 | PBE | relaxed

Computed properties:
total moment = 0.00 μB per atom
ΔE_f = -483 meV per atom
total DFT energy (no corrections) = -4.4870 eV/atom

Cell and atoms, written as CIF:
```
data_Mg2Zn2CuPt5
_chemical_formula_sum 'Mg4 Zn4 Cu2 Pt10'
_cell_length_a 9.225
_cell_length_b 9.225
_cell_length_c 3.769
_cell_angle_alpha 90.00
_cell_angle_beta 90.00
_cell_angle_gamma 90.00
_space_group_name_H-M_alt 'P 4/m b m'
_space_group_IT_number 127
_space_group_name_Hall '-P 4 2ab'
loop_
_atom_site_label
_atom_site_fract_x
_atom_site_fract_y
_atom_site_fract_z
Mg1 0.171 0.329 0.000
Zn1 0.129 0.629 0.000
Cu1 0.000 0.000 0.000
Pt1 0.000 0.500 0.500
Pt2 0.075 0.804 0.500
```